(i)
DFT (PBE) results for a relaxed structure of PuThRh.

The total magnetization comes out at 0.00 Bohr magnetons per cell. The density of states at the Fermi level comes out at 3.92 states/eV/f.u.

Cell: 3.7716 5.6346 12.9376 Å, 90.00 90.00 90.00°
Sites, in units of the cell vectors:
Th (0.7500, 0.4681, 0.3706)
Th (0.7500, 0.9681, 0.1294)
Th (0.2500, 0.0319, 0.8706)
Th (0.2500, 0.5319, 0.6294)
Rh (0.2500, 0.7213, 0.2518)
Rh (0.7500, 0.2787, 0.7482)
Rh (0.7500, 0.7787, 0.7518)
Rh (0.2500, 0.2213, 0.2482)
Pu (0.7500, 0.0171, 0.5530)
Pu (0.7500, 0.5171, 0.9470)
Pu (0.2500, 0.4829, 0.0530)
Pu (0.2500, 0.9829, 0.4470)

***

(ii)
DFT (PBE) results for a relaxed structure of PuThRh.

The total magnetization comes out at 6.34 Bohr magnetons per cell. The density of states at the Fermi level comes out at 8.97 states/eV/f.u.

Cell: 4.8688 4.8688 4.8688 Å, 60.00 60.00 60.00°
Sites, in units of the cell vectors:
Rh (0.2500, 0.2500, 0.2500)
Th (0.5000, 0.5000, 0.5000)
Pu (0.0000, 0.0000, 0.0000)

***

It is (ii) that is the least stable of them.